Entry 1:
## Cr2ReTe (PBE)

Data for a relaxed structure of Cr2ReTe. Values from VASP.

The structure in Quantum ESPRESSO input format:
```
&SYSTEM
  ibrav = 0, nat = 4, ntyp = 3
/
ATOMIC_SPECIES
Re 186.21 Re.upf
Cr 52.00 Cr.upf
Te 127.60 Te.upf
ATOMIC_POSITIONS angstrom
Re 0.0000 0.0000 4.0061
Cr 0.0000 0.0000 0.3408
Cr 0.8762 1.3018 2.0690
Te 0.8762 1.3018 6.8171
CELL_PARAMETERS angstrom
2.7994 0.0075 0.0000
-1.0470 2.5962 0.0000
0.0000 0.0000 8.8221
```


Entry 2:
## PuPa2GeN5 (PBE)

Data for a relaxed structure of PuPa2GeN5. Values from VASP.

The structure in Quantum ESPRESSO input format:
```
&SYSTEM
  ibrav = 0, nat = 18, ntyp = 4
/
ATOMIC_SPECIES
Pa 231.04 Pa.upf
Pu 244.00 Pu.upf
N 14.01 N.upf
Ge 72.64 Ge.upf
ATOMIC_POSITIONS angstrom
Pa -0.8520 -7.7624 1.0824
Pa -0.3688 -3.2558 -0.5513
Pa -2.8341 -9.3908 -1.5099
Pa -2.2071 -3.5370 -3.6884
Pu -2.4839 -6.2137 -1.8209
Pu -1.2042 -10.9779 1.5979
N -0.9120 -8.0755 -1.1148
N -2.1229 -3.2569 0.9575
N -2.0438 -2.2551 -1.8831
N -0.0995 -0.8876 -0.0580
N -1.2251 -10.7488 -2.4690
N -0.5479 -4.6787 -2.3609
N -2.7840 -9.1766 0.7885
N -2.4542 -6.1924 0.5678
N -0.3129 -2.3714 -4.2803
N -2.7042 -8.0185 -3.5160
Ge -1.4293 -12.6229 -2.0722
Ge -2.2924 -4.8830 1.9764
CELL_PARAMETERS angstrom
-3.4985 0.3896 0.0399
1.3998 -2.6914 -6.2850
-1.0920 -10.2306 4.1377
```


Entry 3:
## Zr3TlS6 (PBE)

Data for a relaxed structure of Zr3TlS6. Values from VASP.

The structure in Quantum ESPRESSO input format:
```
&SYSTEM
  ibrav = 0, nat = 20, ntyp = 3
/
ATOMIC_SPECIES
S 32.06 S.upf
Zr 91.22 Zr.upf
Tl 204.38 Tl.upf
ATOMIC_POSITIONS angstrom
S 3.2936 -1.7758 6.7278
S 2.5838 -4.7431 4.4379
S -0.7695 -2.7608 1.2508
S 1.4922 -1.3491 3.5081
S 4.3851 -5.1698 7.6576
S 4.6522 -5.3826 1.3956
S 6.1910 -5.5514 4.6082
S 1.2252 -1.1363 9.7701
S 5.7953 -8.6251 2.8043
S -0.3136 -0.9675 6.5575
S 0.0820 2.1062 8.3613
S 6.6468 -3.7581 9.9148
Zr 4.1352 -6.6620 3.5456
Zr 1.1418 -2.8262 5.5820
Zr 1.7422 0.1431 7.6200
Zr -0.2711 -0.2848 1.8840
Zr 4.7356 -3.6927 5.5836
Zr 6.1484 -6.2341 9.2816
Tl 3.4760 -3.2025 10.1715
Tl 2.4014 -3.3164 0.9942
CELL_PARAMETERS angstrom
-2.4795 -2.4958 1.0565
8.0794 -8.2872 -0.6159
0.2775 4.2642 10.7251
```


Entry 4:
## CrTe6Mo (PBE)

Data for a relaxed structure of CrTe6Mo. Values from VASP.

The structure in Quantum ESPRESSO input format:
```
&SYSTEM
  ibrav = 0, nat = 8, ntyp = 3
/
ATOMIC_SPECIES
Te 127.60 Te.upf
Cr 52.00 Cr.upf
Mo 95.94 Mo.upf
ATOMIC_POSITIONS angstrom
Te -6.4510 0.9376 -0.1951
Te -7.1459 -1.1801 2.6297
Te -10.3352 0.6650 -1.3421
Te -9.4347 2.0172 1.9324
Te -11.0301 -1.4528 1.4827
Te -8.0465 -2.5323 -0.6448
Cr 0.0000 0.0000 0.0000
Mo -8.7406 -0.2576 0.6438
CELL_PARAMETERS angstrom
-5.7871 2.5401 -2.2652
-5.5933 -3.6041 -0.8578
-6.1007 0.5489 4.4106
```


Entry 5:
## DyNpSc2Sb4 (PBE)

Data for a relaxed structure of DyNpSc2Sb4. Values from VASP.

The structure in Quantum ESPRESSO input format:
```
&SYSTEM
  ibrav = 0, nat = 8, ntyp = 4
/
ATOMIC_SPECIES
Sb 121.76 Sb.upf
Sc 44.96 Sc.upf
Np 237.00 Np.upf
Dy 162.50 Dy.upf
ATOMIC_POSITIONS angstrom
Sb 2.1383 3.6273 5.1887
Sb 0.0000 4.9202 1.9391
Sb 0.0000 -0.0807 5.1291
Sb 2.1383 1.2121 1.8795
Sc 0.0000 2.4197 3.5341
Sc 2.1383 -1.2900 3.4645
Np 0.0000 0.0000 0.0000
Dy 2.1383 3.7097 0.0696
CELL_PARAMETERS angstrom
4.2766 0.0000 0.0000
0.0000 7.4195 0.1392
0.0000 -2.5801 6.9290
```


Entry 6:
## K2PmTc2N6 (PBE)

Data for a relaxed structure of K2PmTc2N6. Values from VASP.

The structure in Quantum ESPRESSO input format:
```
&SYSTEM
  ibrav = 0, nat = 11, ntyp = 4
/
ATOMIC_SPECIES
Pm 145.00 Pm.upf
N 14.01 N.upf
Tc 98.00 Tc.upf
K 39.10 K.upf
ATOMIC_POSITIONS angstrom
Pm 3.1565 -1.7962 3.2882
N 3.1565 0.5017 4.1522
N -1.6671 4.3058 1.2330
N 0.0000 1.3794 2.0370
N 4.8236 -2.4247 4.9562
N 1.4895 -2.4247 4.9562
N 1.6671 4.3058 1.2330
Tc 0.0000 -0.2414 1.3284
Tc 3.1565 2.1225 4.8608
K 3.1565 1.6500 1.0425
K 0.0000 0.2311 5.1467
CELL_PARAMETERS angstrom
6.3131 0.0000 0.0000
-3.1565 5.4735 -0.3873
0.0000 -3.5924 6.5765
```


Entry 7:
## NaOsClF2 (PBE)

Data for a relaxed structure of NaOsClF2. Values from VASP.

The structure in Quantum ESPRESSO input format:
```
&SYSTEM
  ibrav = 0, nat = 5, ntyp = 4
/
ATOMIC_SPECIES
Na 22.99 Na.upf
F 19.00 F.upf
Cl 35.45 Cl.upf
Os 190.23 Os.upf
ATOMIC_POSITIONS angstrom
Na 2.5673 2.0967 2.5673
F 0.0000 0.0000 2.5673
F 2.5673 0.0000 0.0000
Cl 0.0000 0.0000 0.0000
Os 0.0000 2.0967 0.0000
CELL_PARAMETERS angstrom
5.1345 0.0000 0.0000
0.0000 4.1934 0.0000
0.0000 0.0000 5.1345
```


Entry 8:
## Sr3Ce2SmN6 (PBE)

Data for a relaxed structure of Sr3Ce2SmN6. Values from VASP.

The structure in Quantum ESPRESSO input format:
```
&SYSTEM
  ibrav = 0, nat = 12, ntyp = 4
/
ATOMIC_SPECIES
Ce 140.12 Ce.upf
N 14.01 N.upf
Sm 150.36 Sm.upf
Sr 87.62 Sr.upf
ATOMIC_POSITIONS angstrom
Ce 1.2918 -2.2092 -2.6009
Ce 3.5996 -0.2962 -0.5187
N -0.3078 -2.3737 -0.7715
N 0.2013 -3.6121 3.0955
N 1.3847 -5.8119 0.5114
N 3.7608 -3.8423 2.6552
N 3.2517 -2.6039 -1.2117
N 2.0683 -0.4042 1.3723
Sm 0.0000 0.0000 0.0000
Sr 1.7265 -3.1080 0.9419
Sr 4.0349 -1.1945 3.0247
Sr -0.5819 -5.0215 -1.1409
CELL_PARAMETERS angstrom
-1.0120 -4.1189 -4.6796
5.9034 1.6135 1.5600
-1.4384 -3.7107 5.0034
```


| no. | formation energy from raw total energies (eV per atom) | electronic total energy (eV/cell) |
| --- | --- | --- |
| 1 | 0.7927 | -31.666 |
| 2 | -1.0036 | -177.201 |
| 3 | -1.3501 | -132.553 |
| 4 | -0.0006 | -39.309 |
| 5 | -0.7888 | -53.006 |
| 6 | -0.1970 | -79.796 |
| 7 | -0.0122 | -18.199 |
| 8 | -1.0731 | -84.462 |